Below is crystalline MgTeI2N at its relaxed geometry, with properties calculated at the PBE level.

Cell and atoms, written as CIF:
```
data_MgTeI2N
_chemical_formula_sum 'Mg1 Te1 I2 N1'
_cell_length_a 4.9157
_cell_length_b 4.9157
_cell_length_c 5.1626
_cell_angle_alpha 90.00
_cell_angle_beta 90.00
_cell_angle_gamma 90.00
_symmetry_space_group_name_H-M 'P 4/m m m'
_symmetry_Int_Tables_number 123
_symmetry_space_group_name_Hall '-P 4 2'
loop_
_atom_site_label
_atom_site_type_symbol
_atom_site_fract_x
_atom_site_fract_y
_atom_site_fract_z
Mg1 Mg 0.0000 0.0000 0.0000
Te1 Te 0.5000 0.5000 0.0000
I1 I 0.0000 0.5000 0.5000
N1 N 0.5000 0.5000 0.5000
```

Calculated values
Final energy = -2.600 eV/atom